Material: Sc2CdIn
Method: DFT, GGA-PBE
State: optimized geometry

Lattice parameters (Å, degrees): 9.8627 9.8627 9.8627 19.66 19.66 19.66
Fractional positions:
Cd: 0.2500 0.2500 0.2500
In: 0.7500 0.7500 0.7500
Sc: 0.9988 0.9988 0.9988
Sc: 0.5012 0.5012 0.5012

Calculated values
- energy of formation (eV per atom) = -0.21
- DFT total energy (eV/atom) = -4.29
- magnetization (μB/cell) = 0.0


Material: ScCdIn
Method: DFT, GGA-PBE
State: optimized geometry

Lattice parameters (Å, degrees): 6.7609 6.7609 3.2693 76.01 76.01 27.99
Fractional positions:
Cd: 0.0022 0.0022 0.9978
In: 0.3304 0.3304 0.6696
Sc: 0.6674 0.6674 0.3326

Calculated values
- energy of formation (eV per atom) = -0.22
- DFT total energy (eV/atom) = -3.55
- magnetization (μB/cell) = 0.4


Material: ScCdIn
Method: DFT, GGA-PBE
State: optimized geometry

Lattice parameters (Å, degrees): 3.3357 3.3357 7.4318 90.00 90.00 120.00
Fractional positions:
Cd: 0.0000 0.0000 0.9956
In: 0.6667 0.3333 0.3364
Sc: 0.3333 0.6667 0.6680

Calculated values
- energy of formation (eV per atom) = -0.11
- DFT total energy (eV/atom) = -3.44
- magnetization (μB/cell) = 0.0


Material: ScCdIn2
Method: DFT, GGA-PBE
State: optimized geometry

Lattice parameters (Å, degrees): 10.1766 10.1766 10.1766 19.09 19.09 19.09
Fractional positions:
Cd: 0.2475 0.2475 0.2475
In: 0.9983 0.9983 0.9983
In: 0.7531 0.7531 0.7531
Sc: 0.5011 0.5011 0.5011

Calculated values
- energy of formation (eV per atom) = -0.09
- DFT total energy (eV/atom) = -3.27
- magnetization (μB/cell) = 0.0


Material: Sc2Cd2In
Method: DFT, GGA-PBE
State: optimized geometry

Lattice parameters (Å, degrees): 7.7667 7.7667 3.7782 90.00 90.00 90.00
Fractional positions:
Sc: 0.1682 0.6682 0.5000
Sc: 0.6682 0.8318 0.5000
Sc: 0.8318 0.3318 0.5000
Sc: 0.3318 0.1682 0.5000
Cd: 0.3701 0.8701 0.0000
Cd: 0.8701 0.6299 0.0000
Cd: 0.6299 0.1299 0.0000
Cd: 0.1299 0.3701 0.0000
In: 0.0000 0.0000 0.0000
In: 0.5000 0.5000 0.0000

Calculated values
- energy of formation (eV per atom) = -0.23
- DFT total energy (eV/atom) = -3.67
- magnetization (μB/cell) = 0.0


Material: Sc3Cd2In4
Method: DFT, GGA-PBE
State: optimized geometry

Lattice parameters (Å, degrees): 4.8861 5.8959 9.0782 117.77 90.00 114.48
Fractional positions:
Sc: 0.6654 0.3307 0.6675
Sc: 0.0000 0.0000 0.0000
Sc: 0.3346 0.6693 0.3325
Cd: 0.6131 0.2261 0.2819
Cd: 0.3869 0.7739 0.7181
In: 0.7201 0.4402 0.0583
In: 0.2799 0.5598 0.9417
In: 0.9461 0.8923 0.6152
In: 0.0539 0.1077 0.3848

Calculated values
- energy of formation (eV per atom) = -0.29
- DFT total energy (eV/atom) = -3.82
- magnetization (μB/cell) = 0.0


Material: Sc6CdIn
Method: DFT, GGA-PBE
State: optimized geometry

Lattice parameters (Å, degrees): 4.5161 4.5161 9.0373 90.00 90.00 90.00
Fractional positions:
Sc: 0.5000 0.5000 0.0000
Sc: 0.5000 0.5000 0.5000
Sc: 0.5000 0.0000 0.2505
Sc: 0.5000 0.0000 0.7495
Sc: 0.0000 0.5000 0.2505
Sc: 0.0000 0.5000 0.7495
Cd: 0.0000 0.0000 0.5000
In: 0.0000 0.0000 0.0000

Calculated values
- energy of formation (eV per atom) = -0.21
- DFT total energy (eV/atom) = -5.41
- magnetization (μB/cell) = 2.4


Material: ScCdIn
Method: DFT, GGA-PBE
State: optimized geometry

Lattice parameters (Å, degrees): 4.7703 4.7703 4.7703 60.00 60.00 60.00
Fractional positions:
Sc: 0.2500 0.2500 0.2500
Cd: 0.7500 0.7500 0.7500
In: 0.0000 0.0000 0.0000

Calculated values
- energy of formation (eV per atom) = -0.14
- DFT total energy (eV/atom) = -3.46
- magnetization (μB/cell) = 0.0